This record from Alexandria describes crystalline TbSm7Dy3 at its relaxed geometry. The functional is PBE.

- Space group: P2/m, No. 10
- Calculated volume: 33.72 A^3/atom
- Formation enthalpy at 0 K: 0.12 eV per atom
- Mass density: 7.61 Mg/m³
- Offset from the most stable computed form: 0.00 eV per formula unit

```
TbSm7Dy3
1.0
7.051 0.000 0.000
0.000 5.620 0.000
-3.499 0.000 9.361
Tb Sm Dy
1 7 3
direct
0.000 0.000 0.000
0.000 0.000 0.500
0.147 0.500 0.791
0.320 0.500 0.140
0.417 0.000 0.330
0.583 0.000 0.670
0.680 0.500 0.860
0.853 0.500 0.209
0.279 0.500 0.499
0.500 0.000 0.000
0.721 0.500 0.501
```

---

This record from Alexandria describes crystalline Tb8SmDy3 at its relaxed geometry. The functional is PBE.

- Space group: Immm, No. 71
- Calculated volume: 34.56 A^3/atom
- Formation enthalpy at 0 K: 0.33 eV per atom
- Mass density: 7.65 Mg/m³

```
Tb8SmDy3
1.0
-3.233 5.626 5.700
3.233 -5.626 5.700
3.233 5.626 -5.700
Tb Sm Dy
8 1 3
direct
0.083 0.250 0.833
0.254 0.248 0.502
0.254 0.752 0.006
0.418 0.250 0.167
0.582 0.750 0.833
0.746 0.248 0.994
0.746 0.752 0.498
0.917 0.750 0.167
0.000 0.000 0.000
0.254 0.754 0.500
0.500 0.500 0.000
0.746 0.246 0.500
```

---

This record from Alexandria describes crystalline Tb3Sm3Dy at its relaxed geometry. The functional is PBE.

- Space group: R-3, No. 148
- Calculated volume: 34.37 A^3/atom
- Formation enthalpy at 0 K: 0.15 eV per atom
- Mass density: 7.53 Mg/m³
- Offset from the most stable computed form: 0.94 eV per formula unit

```
Tb3Sm3Dy
1.0
3.113 1.797 14.337
-3.113 1.797 14.337
0.000 -3.594 14.337
Tb Sm Dy
6 6 2
direct
0.101 0.435 0.768
0.232 0.899 0.565
0.435 0.768 0.101
0.565 0.232 0.899
0.768 0.101 0.435
0.899 0.565 0.232
0.037 0.699 0.368
0.301 0.632 0.963
0.368 0.037 0.699
0.632 0.963 0.301
0.699 0.368 0.037
0.963 0.301 0.632
0.167 0.167 0.167
0.833 0.833 0.833
```

---

This record from Alexandria describes crystalline Tb3Sm2Dy7 at its relaxed geometry. The functional is PBE.

- Space group: P2/m, No. 10
- Calculated volume: 32.25 A^3/atom
- Formation enthalpy at 0 K: 0.09 eV per atom
- Mass density: 8.22 Mg/m³
- Offset from the most stable computed form: 0.00 eV per formula unit

```
Tb3Sm2Dy7
1.0
5.792 0.000 0.000
0.000 3.576 0.000
-1.130 0.000 18.680
Tb Sm Dy
3 2 7
direct
0.000 0.000 0.000
0.278 0.500 0.631
0.722 0.500 0.369
0.208 0.000 0.294
0.792 0.000 0.706
0.184 0.500 0.143
0.242 0.000 0.462
0.314 0.000 0.824
0.500 0.500 0.000
0.686 0.000 0.176
0.758 0.000 0.538
0.816 0.500 0.857
```

---

This record from Alexandria describes crystalline Tb5Sm3Dy2 at its relaxed geometry. The functional is PBE.

- Space group: Ibam, No. 72
- Calculated volume: 33.42 A^3/atom
- Formation enthalpy at 0 K: 0.26 eV per atom
- Mass density: 7.80 Mg/m³
- Offset from the most stable computed form: 0.64 eV per formula unit

```
Tb5Sm3Dy2
1.0
-5.600 8.875 3.362
5.600 -8.875 3.362
5.600 8.875 -3.362
Tb Sm Dy
10 6 4
direct
0.069 0.750 0.319
0.170 0.099 0.269
0.250 0.250 0.000
0.330 0.599 0.930
0.431 0.750 0.681
0.569 0.250 0.319
0.670 0.401 0.070
0.750 0.750 0.000
0.830 0.901 0.731
0.931 0.250 0.681
0.172 0.791 0.962
0.250 0.750 0.500
0.328 0.291 0.619
0.672 0.709 0.381
0.750 0.250 0.500
0.828 0.209 0.038
0.026 0.264 0.290
0.474 0.764 0.237
0.526 0.236 0.763
0.974 0.736 0.710
```

---

This record from Alexandria describes crystalline Tb3Sm8Dy4 at its relaxed geometry. The functional is PBE.

- Space group: R-3m, No. 166
- Calculated volume: 33.48 A^3/atom
- Formation enthalpy at 0 K: 0.15 eV per atom
- Mass density: 7.70 Mg/m³
- Offset from the most stable computed form: 0.00 eV per formula unit

```
Tb3Sm8Dy4
1.0
3.494 2.017 11.873
-3.494 2.017 11.873
0.000 -4.035 11.873
Tb Sm Dy
3 8 4
direct
0.000 0.500 0.500
0.500 0.000 0.500
0.500 0.500 0.000
0.251 0.251 0.748
0.251 0.748 0.251
0.252 0.749 0.749
0.254 0.254 0.254
0.746 0.746 0.746
0.748 0.251 0.251
0.749 0.252 0.749
0.749 0.749 0.252
0.000 0.000 0.000
0.164 0.164 0.164
0.500 0.500 0.500
0.836 0.836 0.836
```

---

This record from Alexandria describes crystalline Tb2Sm5Dy4 at its relaxed geometry. The functional is PBE.

- Space group: Immm, No. 71
- Calculated volume: 34.08 A^3/atom
- Formation enthalpy at 0 K: 0.21 eV per atom
- Mass density: 7.62 Mg/m³
- Offset from the most stable computed form: 0.69 eV per formula unit

```
Tb2Sm5Dy4
1.0
-1.758 4.560 11.692
1.758 -4.560 11.692
1.758 4.560 -11.692
Tb Sm Dy
2 5 4
direct
0.231 0.231 0.000
0.769 0.769 0.000
0.154 0.354 0.800
0.446 0.646 0.800
0.500 0.000 0.500
0.554 0.354 0.200
0.846 0.646 0.200
0.097 0.097 0.000
0.190 0.500 0.690
0.810 0.500 0.310
0.903 0.903 0.000
```

---

This record from Alexandria describes crystalline Tb2Sm6Dy3 at its relaxed geometry. The functional is PBE.

- Space group: I4/mmm, No. 139
- Calculated volume: 34.60 A^3/atom
- Formation enthalpy at 0 K: 0.29 eV per atom
- Mass density: 7.45 Mg/m³
- Offset from the most stable computed form: 3.00 eV per formula unit

```
Tb2Sm6Dy3
1.0
-2.382 2.382 16.763
2.382 -2.382 16.763
2.382 2.382 -16.763
Tb Sm Dy
2 6 3
direct
0.045 0.045 0.000
0.955 0.955 0.000
0.121 0.621 0.500
0.199 0.199 0.000
0.379 0.879 0.500
0.621 0.121 0.500
0.801 0.801 0.000
0.879 0.379 0.500
0.301 0.301 0.000
0.500 0.500 0.000
0.699 0.699 0.000
```